YBe2Sb2 | PBE-GGA | optimized geometry

Values from the calculation:
Crystal system: tetragonal
Calculated volume: 206.4 Å³ per cell
Total magnetization: 0.00 Bohr magnetons per cell
ΔE_f (raw): -0.109 eV per atom

a = 3.880 Å, b = 3.880 Å, c = 13.711 Å
α = 90.00°, β = 90.00°, γ = 90.00°
Space group I4/mmm (No. 139)
One atom of each set of equivalent atoms:
1 Y 0.000 0.000 0.000 [2 per cell]
2 Be 0.000 0.500 0.250 [4 per cell]
3 Sb 0.000 0.000 0.369 [4 per cell]